DFT (PBE-GGA) results for a relaxed structure of Ag3Hg2Pd2.

Structure (POSCAR):
```
Ag3Hg2Pd2
1.0
8.981 0.000 0.000
0.000 4.290 0.000
-1.204 0.000 6.589
Ag Hg Pd
6 4 4
direct
0.000 0.000 0.000 Ag
0.144 0.000 0.425 Ag
0.356 0.500 0.575 Ag
0.500 0.500 0.000 Ag
0.644 0.500 0.425 Ag
0.856 0.000 0.575 Ag
0.076 0.500 0.730 Hg
0.424 0.000 0.270 Hg
0.576 0.000 0.730 Hg
0.924 0.500 0.270 Hg
0.216 0.500 0.147 Pd
0.284 0.000 0.853 Pd
0.716 0.000 0.147 Pd
0.784 0.500 0.853 Pd
```

Fermi-level density of states, states/eV/atom: 0.245
Energy, eV/atom: -2.85
E_form, meV/atom: -55
Distance to the lowest polymorph of the same formula, eV/f.u.: 0.00
ρ, g cm⁻³: 12.27